Version 1
Crystalline Mg3InH at its relaxed geometry, computed with PBE.

a b c (Å): 5.3502 5.3502 5.3502
angles (deg): 90.00 90.00 90.00
Space group Pm-3m (No. 221)
Inequivalent atoms, fractional coordinates:
Mg (0.0000, 0.0000, 0.5000)
In (0.0000, 0.0000, 0.0000)
H (0.5000, 0.5000, 0.5000)

Its calculated volume is 30.63 Å³ per atom. The total magnetization comes out at 0.00 μB/f.u.

=====

Version 2
Crystalline Mg3InH at its relaxed geometry, computed with PBE.

a b c (Å): 4.4800 4.4800 4.4800
angles (deg): 90.00 90.00 90.00
Space group Pm-3m (No. 221)
Inequivalent atoms, fractional coordinates:
Mg (0.0000, 0.0000, 0.5000)
In (0.5000, 0.5000, 0.5000)
H (0.0000, 0.0000, 0.0000)

Its calculated volume is 17.98 Å³ per atom. The total magnetization comes out at 0.00 μB/f.u.

=====

Version 3
Crystalline Mg3InH at its relaxed geometry, computed with PBE.

a b c (Å): 5.5955 6.3778 10.6216
angles (deg): 90.00 100.08 90.00
Space group P2_1/c (No. 14)
Inequivalent atoms, fractional coordinates:
Mg (0.1166, 0.1402, 0.1241)
Mg (0.3669, 0.6098, 0.8758)
Mg (0.3694, 0.1146, 0.8709)
In (0.1430, 0.6433, 0.1301)
H (0.4285, 0.1383, 0.0613)

Its calculated volume is 18.66 Å³ per atom. The total magnetization comes out at 0.00 μB/f.u.

=====

The data favor version 3; the next most stable structure lies 29 meV per atom above it.

=====

Version 1
Crystalline MgInH at its relaxed geometry, computed with PBE.

a b c (Å): 3.2950 3.4325 10.1575
angles (deg): 81.47 83.90 61.35
Space group P-1 (No. 2)
Inequivalent atoms, fractional coordinates:
Mg (0.1816, 0.2186, 0.3670)
In (0.4526, 0.3419, 0.8742)
H (0.1543, 0.1469, 0.5741)

Its calculated volume is 16.60 Å³ per atom. The total magnetization comes out at 0.00 μB/f.u.

=====

Version 2
Crystalline MgInH at its relaxed geometry, computed with PBE.

a b c (Å): 3.3727 3.3727 8.6923
angles (deg): 90.00 90.00 90.00
Space group P4/nmm (No. 129, origin choice 2)
Inequivalent atoms, fractional coordinates:
Mg (0.2500, 0.2500, 0.1296)
In (0.2500, 0.2500, 0.6274)
H (0.2500, 0.7500, 0.0000)

Its calculated volume is 16.48 Å³ per atom. The total magnetization comes out at 0.00 μB/f.u.

=====

The data favor version 2; the next most stable structure lies 21 meV per atom above it.